LuGaNiAg | PBE | optimized geometry

```
LuGaNiAg
1.0
-0.8746 0.2308 4.5095
-1.3250 -3.7675 2.2813
2.8574 -1.9947 3.0018
Ag Lu Ni Ga
1 1 1 1
Direct
0.2500 0.2500 0.2500 Ag
0.5000 0.5000 0.5000 Lu
0.7500 0.7500 0.7500 Ni
0.0000 0.0000 0.0000 Ga
```

Summary:
As for the formation energy: -319 meV/atom.